Below is a relaxed Te4PW crystal, with properties calculated at the PBEsol level.

VASP energy (eV/atom): -4.02
Crystal system: cubic
Uncorrected formation energy (eV per formula unit): 9.604

a = 6.025 Å, b = 6.025 Å, c = 6.025 Å
α = 60.00°, β = 60.00°, γ = 60.00°
Last column: magnetic moment on the atom in μB.
Element x y z (fractional)
Te 0.375 0.375 0.874  -0.05
Te 0.375 0.375 0.375  -0.05
Te 0.874 0.375 0.375  -0.05
P 0.000 0.000 0.000  -0.45
W 0.750 0.750 0.750  2.61
Te 0.375 0.874 0.375  -0.05